This record from the Alexandria database describes Tl2WO after structural relaxation. The functional is PBE with a Hubbard U.

Geometry as POSCAR:
```
Tl2WO
1.0
-3.7463 -0.0265 3.0645
-1.2588 4.0579 2.3185
-4.1026 2.2843 -1.1734
Tl O W
2 1 1
Direct
0.2500 0.2500 0.2500
0.7500 0.7500 0.7500
0.0000 0.0000 0.0000
0.5000 0.5000 0.5000
```

Results
Its magnetization is 0.0 μB per cell. The energy above the lowest structure with this stoichiometry is 689.9 meV/atom. The calculation puts the energy at -2.999 eV/atom.